{
  "formula": "CuNiIrPt",
  "functional": "GGA-PBE",
  "state": "optimized geometry",
  "lattice_angstrom": [[4.2309, 0.0000, 0.0000], [2.1155, 3.6641, 0.0000], [2.1155, 1.2214, 3.4545]],
  "species": ["Ir", "Ni", "Pt", "Cu"],
  "frac_coords": [[0.7500, 0.7500, 0.7500], [0.5000, 0.5000, 0.5000], [0.2500, 0.2500, 0.2500], [0.0000, 0.0000, 0.0000]],
  "final_energy_ev_per_atom": -6.082,
  "formation_energy_mev_per_atom": 113,
  "total_magnetization_mub_per_cell": 2.069,
  "spacegroup": "F-43m"
}

{
  "formula": "TbSmZnGa",
  "functional": "GGA-PBE",
  "state": "optimized geometry",
  "lattice_angstrom": [[-4.8056, -1.2997, -1.1996], [-2.6658, -3.0880, 3.0952], [-3.9132, 1.8648, 2.7262]],
  "species": ["Sm", "Zn", "Tb", "Ga"],
  "frac_coords": [[0.5000, 0.5000, 0.5000], [0.7500, 0.7500, 0.7500], [0.0000, 0.0000, 0.0000], [0.2500, 0.2500, 0.2500]],
  "final_energy_ev_per_atom": -3.879,
  "formation_energy_mev_per_atom": -467,
  "total_magnetization_mub_per_cell": 0.000,
  "spacegroup": "F-43m"
}